(1)
Entry from Alexandria: an optimized crystal structure of ErBi2H (PBE).

Computed properties:
**Total energy**: -0.3176 Ry per atom
**Total moment**: 0.00 μB per formula unit
**SG**: Cm, No. 8

Structure (POSCAR):
```
ErBi2H
1.0
6.122 0.000 0.000
0.000 3.535 0.000
-2.015 0.000 9.439
Er Bi H
2 4 2
direct
0.000 0.000 0.000 Er
0.500 0.500 0.000 Er
0.071 0.500 0.710 Bi
0.262 0.500 0.289 Bi
0.571 0.000 0.710 Bi
0.762 0.000 0.289 Bi
0.333 0.000 0.998 H
0.833 0.500 0.998 H
```

***

(2)
Entry from Alexandria: an optimized crystal structure of Cs3TeAu (PBE).

Computed properties:
**Total energy**: -0.1720 Ry per atom
**Offset from the most stable computed form**: 0.94 eV per formula unit
**Total moment**: 0.00 μB per formula unit
**SG**: Pm-3m, No. 221
**Formation energy without anion corrections**: -0.544 eV per atom

Structure (POSCAR):
```
Cs3TeAu
1.0
7.284 0.000 0.000
0.000 7.284 0.000
0.000 0.000 7.284
Cs Te Au
3 1 1
direct
0.000 0.000 0.500 Cs
0.000 0.500 0.000 Cs
0.500 0.000 0.000 Cs
0.000 0.000 0.000 Te
0.500 0.500 0.500 Au
```

***

(3)
Entry from Alexandria: an optimized crystal structure of Dy2Al9Fe3 (PBE).

Computed properties:
**Total energy**: -0.3892 Ry per atom
**Total moment**: 0.18 μB per formula unit
**Calculated formation energy**: -418.4 meV/atom
**SG**: C2/c, No. 15

Structure (POSCAR):
```
Dy2Al9Fe3
1.0
6.458 -3.681 0.000
6.458 3.681 0.000
-4.308 0.000 9.470
Dy Al Fe
4 18 6
direct
0.088 0.252 0.249 Dy
0.252 0.088 0.749 Dy
0.748 0.912 0.251 Dy
0.912 0.748 0.751 Dy
0.024 0.856 0.070 Al
0.144 0.976 0.430 Al
0.190 0.358 0.566 Al
0.207 0.581 0.252 Al
0.319 0.487 0.954 Al
0.358 0.190 0.066 Al
0.361 0.639 0.750 Al
0.419 0.793 0.248 Al
0.487 0.319 0.454 Al
0.513 0.681 0.546 Al
0.581 0.207 0.752 Al
0.639 0.361 0.250 Al
0.642 0.810 0.934 Al
0.681 0.513 0.046 Al
0.793 0.419 0.748 Al
0.810 0.642 0.434 Al
0.856 0.024 0.570 Al
0.976 0.144 0.930 Al
0.000 0.500 0.000 Fe
0.155 0.672 0.498 Fe
0.328 0.845 0.002 Fe
0.500 0.000 0.500 Fe
0.672 0.155 0.998 Fe
0.845 0.328 0.502 Fe
```